# 1
# Ba4MgIn3

An optimized crystal structure of Ba4MgIn3 (PBE, Alexandria via LeMat-Bulk).

Geometry as POSCAR:
```
Ba4MgIn3
1.0
12.076 0.000 0.000
0.000 8.670 0.000
0.000 0.000 6.038
Ba Mg In
8 2 6
Direct
0.000 0.247 0.000
0.000 0.753 0.000
0.250 0.247 0.499
0.250 0.753 0.499
0.500 0.247 0.000
0.500 0.753 0.000
0.750 0.247 0.501
0.750 0.753 0.501
0.000 0.500 0.500
0.500 0.500 0.500
0.000 0.000 0.500
0.250 0.000 0.999
0.250 0.500 0.999
0.500 0.000 0.500
0.750 0.000 0.001
0.750 0.500 0.001
```

Computed properties:
The formation energy is -30.7 kJ per mole of atoms. As for the space group: Pmma (51).

---

# 2
# LiCa2Ni

An optimized crystal structure of LiCa2Ni (PBE, Alexandria via LeMat-Bulk).

Geometry as POSCAR:
```
LiCa2Ni
1.0
5.058 0.000 0.000
0.000 5.058 0.000
0.000 0.000 3.720
Li Ca Ni
1 2 1
Direct
0.000 0.000 0.000
0.000 0.500 0.500
0.500 0.000 0.500
0.500 0.500 0.000
```

Computed properties:
The formation energy is 6.1 kJ per mole of atoms. As for the space group: P4/mmm (123).

---

# 3
# SmDyAs2O8

An optimized crystal structure of SmDyAs2O8 (PBE, Alexandria via LeMat-Bulk).

Geometry as POSCAR:
```
SmDyAs2O8
1.0
-2.544 2.544 5.732
2.544 -2.544 5.732
2.544 2.544 -5.732
Sm Dy As O
1 1 2 8
Direct
0.000 0.000 0.000
0.250 0.750 0.500
0.500 0.500 0.000
0.750 0.250 0.500
0.278 0.671 0.109
0.329 0.438 0.607
0.422 0.023 0.100
0.562 0.169 0.891
0.678 0.578 0.602
0.831 0.722 0.393
0.923 0.322 0.900
0.977 0.077 0.398
```

Computed properties:
The calculation puts the formation energy from raw total energies at -2.344 eV/atom. As for the space group: I-4 (82).

---

# 4
# As2RuCl

An optimized crystal structure of As2RuCl (PBE, Alexandria via LeMat-Bulk).

Geometry as POSCAR:
```
As2RuCl
1.0
1.537 -2.634 0.000
1.537 2.634 0.000
0.000 0.000 8.997
As Ru Cl
2 1 1
Direct
0.000 0.000 0.000
0.500 0.500 0.304
0.500 0.500 0.795
0.000 0.000 0.569
```

Computed properties:
The calculation puts the formation energy from raw total energies at 0.364 eV/atom. The relative energy among the computed polymorphs is 51.7 kJ per mole of atoms. As for the space group: Cmm2 (35).

---

# 5
# Cs12TlAu4

An optimized crystal structure of Cs12TlAu4 (PBE, Alexandria via LeMat-Bulk).

Geometry as POSCAR:
```
Cs12TlAu4
1.0
-6.795 6.795 6.795
6.795 -6.795 6.795
6.795 6.795 -6.795
Cs Tl Au
12 1 4
Direct
0.121 0.825 0.296
0.175 0.296 0.471
0.175 0.704 0.879
0.296 0.121 0.825
0.296 0.471 0.175
0.471 0.175 0.296
0.529 0.825 0.704
0.704 0.529 0.825
0.704 0.879 0.175
0.825 0.296 0.121
0.825 0.704 0.529
0.879 0.175 0.704
0.000 0.000 0.000
0.000 0.000 0.500
0.000 0.500 0.000
0.500 0.000 0.000
0.500 0.500 0.500
```

Computed properties:
The formation energy is -13.7 kJ per mole of atoms. As for the space group: Im-3 (204).

---

# 6
# Na4Tl2Pb5

An optimized crystal structure of Na4Tl2Pb5 (PBE, Alexandria via LeMat-Bulk).

Geometry as POSCAR:
```
Na4Tl2Pb5
1.0
8.585 0.000 0.000
0.000 3.399 0.000
-0.962 0.000 11.174
Na Tl Pb
4 2 5
Direct
0.166 0.000 0.396
0.294 0.000 0.940
0.706 0.000 0.060
0.834 0.000 0.604
0.058 0.500 0.135
0.942 0.500 0.865
0.195 0.500 0.669
0.431 0.500 0.206
0.500 0.500 0.500
0.569 0.500 0.794
0.805 0.500 0.331
```

Computed properties:
The relative energy among the computed polymorphs is 0.0 kJ per mole of atoms. The formation energy is -8.6 kJ per mole of atoms. As for the space group: P2/m (10).

---

# 7
# VGe2Se8

An optimized crystal structure of VGe2Se8 (PBE, Alexandria via LeMat-Bulk).

Geometry as POSCAR:
```
VGe2Se8
1.0
5.954 -4.494 0.000
5.954 4.494 0.000
-0.687 0.000 5.609
V Ge Se
1 2 8
Direct
0.000 0.000 0.000
0.187 0.187 0.590
0.813 0.813 0.410
0.141 0.742 0.298
0.197 0.197 0.165
0.258 0.859 0.702
0.363 0.363 0.806
0.637 0.637 0.194
0.742 0.141 0.298
0.803 0.803 0.835
0.859 0.258 0.702
```

Computed properties:
The calculation puts the formation energy from raw total energies at -0.151 eV/atom. As for the space group: C2/m (12).

---

# 8
# GeIrRhO6

An optimized crystal structure of GeIrRhO6 (PBE, Alexandria via LeMat-Bulk).

Geometry as POSCAR:
```
GeIrRhO6
1.0
5.064 0.000 0.000
-2.532 4.385 0.000
0.000 0.000 8.488
Ge Ir Rh O
2 2 2 12
Direct
0.333 0.667 0.250
0.667 0.333 0.750
0.333 0.667 0.750
0.667 0.333 0.250
0.000 0.000 0.000
0.000 0.000 0.500
0.010 0.352 0.128
0.010 0.657 0.372
0.343 0.352 0.372
0.343 0.990 0.128
0.352 0.010 0.628
0.352 0.343 0.872
0.648 0.657 0.128
0.648 0.990 0.372
0.657 0.010 0.872
0.657 0.648 0.628
0.990 0.343 0.628
0.990 0.648 0.872
```

Computed properties:
The calculation puts the formation energy from raw total energies at -0.932 eV/atom. As for the space group: P-31c (163).

---

# 9
# TbHo2Bi4

An optimized crystal structure of TbHo2Bi4 (PBE, Alexandria via LeMat-Bulk).

Geometry as POSCAR:
```
TbHo2Bi4
1.0
2.245 -5.651 0.000
2.245 5.651 0.000
0.000 0.000 17.048
Tb Ho Bi
2 4 8
Direct
0.056 0.944 0.750
0.944 0.056 0.250
0.340 0.660 0.574
0.340 0.660 0.926
0.660 0.340 0.074
0.660 0.340 0.426
0.000 0.000 0.000
0.000 0.000 0.500
0.348 0.652 0.750
0.352 0.648 0.122
0.352 0.648 0.378
0.648 0.352 0.622
0.648 0.352 0.878
0.652 0.348 0.250
```

Computed properties:
The formation energy is -56.7 kJ per mole of atoms. As for the space group: Cmcm (63).

---

# 10
# Cs3Y2BiSe6

An optimized crystal structure of Cs3Y2BiSe6 (PBE, Alexandria via LeMat-Bulk).

Geometry as POSCAR:
```
Cs3Y2BiSe6
1.0
3.738 -6.474 0.000
3.738 6.474 0.000
-2.489 0.000 8.358
Cs Y Bi Se
3 2 1 6
Direct
0.000 0.000 0.000
0.336 0.664 0.000
0.664 0.336 0.000
0.167 0.833 0.500
0.833 0.167 0.500
0.500 0.500 0.500
0.097 0.437 0.312
0.221 0.221 0.687
0.437 0.097 0.312
0.563 0.903 0.688
0.779 0.779 0.313
0.903 0.563 0.688
```

Computed properties:
The calculation puts the formation energy from raw total energies at -1.420 eV/atom. As for the space group: C2/m (12).

---

# 11
# AsPS2

An optimized crystal structure of AsPS2 (PBE, Alexandria via LeMat-Bulk).

Geometry as POSCAR:
```
AsPS2
1.0
4.280 0.000 0.000
-0.962 4.353 0.000
-1.068 -0.325 5.607
As P S
1 1 2
Direct
0.000 0.000 0.000
0.650 0.349 0.857
0.235 0.007 0.669
0.455 0.393 0.170
```

Computed properties:
The calculation puts the formation energy from raw total energies at -0.017 eV/atom. The relative energy among the computed polymorphs is 0.0 kJ per mole of atoms. As for the space group: P1 (1).

---

# 12
# Y3Te2O

An optimized crystal structure of Y3Te2O (PBE, Alexandria via LeMat-Bulk).

Geometry as POSCAR:
```
Y3Te2O
1.0
7.210 -4.068 0.000
7.210 4.068 0.000
0.000 0.000 6.047
Y Te O
6 4 2
Direct
0.098 0.902 0.500
0.110 0.606 0.038
0.394 0.890 0.038
0.606 0.110 0.538
0.890 0.394 0.538
0.902 0.098 0.000
0.209 0.486 0.538
0.486 0.209 0.038
0.514 0.791 0.538
0.791 0.514 0.038
0.167 0.833 0.101
0.833 0.167 0.601
```

Computed properties:
The calculation puts the formation energy from raw total energies at -1.618 eV/atom. As for the space group: Cmc2_1 (36).

---

# 13
# Ce3ZnP2Pt9

An optimized crystal structure of Ce3ZnP2Pt9 (PBE, Alexandria via LeMat-Bulk).

Geometry as POSCAR:
```
Ce3ZnP2Pt9
1.0
5.702 0.000 0.000
-2.851 4.938 0.000
0.000 0.000 10.761
Ce Zn P Pt
3 1 2 9
Direct
0.000 0.000 0.000
0.333 0.667 0.588
0.667 0.333 0.412
0.000 0.000 0.500
0.333 0.667 0.161
0.667 0.333 0.839
0.000 0.500 0.000
0.164 0.329 0.314
0.164 0.836 0.314
0.329 0.164 0.686
0.500 0.000 0.000
0.500 0.500 0.000
0.671 0.836 0.314
0.836 0.164 0.686
0.836 0.671 0.686
```

Computed properties:
The formation energy is -71.7 kJ per mole of atoms. As for the space group: P-3m1 (164).

---

# 14
# AlGa2Pb

An optimized crystal structure of AlGa2Pb (PBE, Alexandria via LeMat-Bulk).

Geometry as POSCAR:
```
AlGa2Pb
1.0
0.000 3.562 3.562
3.562 0.000 3.562
3.562 3.562 0.000
Al Ga Pb
1 2 1
Direct
0.000 0.000 0.000
0.250 0.250 0.250
0.750 0.750 0.750
0.500 0.500 0.500
```

Computed properties:
The relative energy among the computed polymorphs is 7.5 kJ per mole of atoms. The formation energy is 17.0 kJ per mole of atoms. As for the space group: Fm-3m (225).

---

# 15
# Ac4SnPb2

An optimized crystal structure of Ac4SnPb2 (PBE, Alexandria via LeMat-Bulk).

Geometry as POSCAR:
```
Ac4SnPb2
1.0
7.832 -2.689 0.000
7.832 2.689 0.000
-2.815 0.000 6.910
Ac Sn Pb
4 1 2
Direct
0.097 0.097 0.296
0.358 0.358 0.242
0.642 0.642 0.758
0.903 0.903 0.704
0.500 0.500 0.000
0.274 0.274 0.744
0.726 0.726 0.256
```

Computed properties:
The formation energy is -36.1 kJ per mole of atoms. As for the space group: C2/m (12).

---

# 16
# ScRe3

An optimized crystal structure of ScRe3 (PBE, Alexandria via LeMat-Bulk).

Geometry as POSCAR:
```
ScRe3
1.0
4.487 0.000 0.000
0.000 4.487 0.000
0.000 0.000 3.122
Sc Re
1 3
Direct
0.000 0.000 0.000
0.000 0.500 0.500
0.500 0.000 0.500
0.500 0.500 0.000
```

Computed properties:
The relative energy among the computed polymorphs is 5.5 kJ per mole of atoms. The formation energy is -1.9 kJ per mole of atoms. As for the space group: P4/mmm (123).

---

# 17
# NaScTl

An optimized crystal structure of NaScTl (PBE, Alexandria via LeMat-Bulk).

Geometry as POSCAR:
```
NaScTl
1.0
5.107 0.000 0.000
-2.554 4.423 0.000
0.000 0.000 3.306
Na Sc Tl
1 1 1
Direct
0.000 0.000 0.000
0.333 0.667 0.409
0.667 0.333 0.806
```

Computed properties:
The relative energy among the computed polymorphs is 0.0 kJ per mole of atoms. The formation energy is 4.0 kJ per mole of atoms. As for the space group: P3m1 (156).

---

# 18
# Ta4IrAu

An optimized crystal structure of Ta4IrAu (PBE, Alexandria via LeMat-Bulk).

Geometry as POSCAR:
```
Ta4IrAu
1.0
0.000 3.783 3.783
3.783 0.000 3.783
3.783 3.783 0.000
Ta Ir Au
4 1 1
Direct
0.125 0.125 0.125
0.125 0.125 0.624
0.125 0.624 0.125
0.624 0.125 0.125
0.500 0.500 0.500
0.750 0.750 0.750
```

Computed properties:
The formation energy is 28.4 kJ per mole of atoms. As for the space group: F-43m (216).

---

# 19
# V2HgAs2

An optimized crystal structure of V2HgAs2 (PBE, Alexandria via LeMat-Bulk).

Geometry as POSCAR:
```
V2HgAs2
1.0
7.145 0.000 0.000
0.000 7.145 0.000
0.000 0.000 3.233
V Hg As
4 2 4
Direct
0.136 0.364 0.000
0.364 0.864 0.000
0.636 0.136 0.000
0.864 0.636 0.000
0.000 0.000 0.000
0.500 0.500 0.000
0.148 0.648 0.500
0.352 0.148 0.500
0.648 0.852 0.500
0.852 0.352 0.500
```

Computed properties:
The formation energy is -13.7 kJ per mole of atoms. As for the space group: P4/mbm (127).

---

# 20
# CaIn3Sn6

An optimized crystal structure of CaIn3Sn6 (PBE, Alexandria via LeMat-Bulk).

Geometry as POSCAR:
```
CaIn3Sn6
1.0
10.850 0.000 0.000
0.000 4.770 0.000
-1.222 0.000 10.796
Ca In Sn
2 6 12
Direct
0.056 0.250 0.383
0.944 0.750 0.617
0.253 0.250 0.986
0.355 0.750 0.808
0.444 0.250 0.591
0.556 0.750 0.409
0.645 0.250 0.192
0.747 0.750 0.014
0.041 0.750 0.917
0.156 0.250 0.695
0.160 0.750 0.204
0.239 0.750 0.523
0.350 0.250 0.300
0.436 0.750 0.118
0.564 0.250 0.882
0.650 0.750 0.700
0.761 0.250 0.477
0.840 0.250 0.796
0.844 0.750 0.305
0.959 0.250 0.083
```

Computed properties:
The formation energy is -8.5 kJ per mole of atoms. As for the space group: P2_1/m (11).

---

# 21
# PrErAlAu

An optimized crystal structure of PrErAlAu (PBE, Alexandria via LeMat-Bulk).

Geometry as POSCAR:
```
PrErAlAu
1.0
0.000 3.692 3.692
3.692 0.000 3.692
3.692 3.692 0.000
Pr Er Al Au
1 1 1 1
Direct
0.000 0.000 0.000
0.500 0.500 0.500
0.750 0.750 0.750
0.250 0.250 0.250
```

Computed properties:
The formation energy is -48.9 kJ per mole of atoms. As for the space group: F-43m (216).

---

# 22
# La4DyEr2

An optimized crystal structure of La4DyEr2 (PBE, Alexandria via LeMat-Bulk).

Geometry as POSCAR:
```
La4DyEr2
1.0
-3.482 5.789 6.055
3.482 -5.789 6.055
3.482 5.789 -6.055
La Dy Er
8 2 4
Direct
0.155 0.154 0.001
0.242 0.210 0.468
0.242 0.774 0.032
0.347 0.846 0.501
0.653 0.154 0.499
0.758 0.226 0.968
0.758 0.790 0.532
0.845 0.846 0.999
0.500 0.000 0.000
0.500 0.500 0.500
0.000 0.500 0.500
0.035 0.285 0.750
0.500 0.500 0.000
0.965 0.715 0.250
```

Computed properties:
The relative energy among the computed polymorphs is 15.2 kJ per mole of atoms. The formation energy is 22.1 kJ per mole of atoms. As for the space group: Imma (74).

---

no.,total magnetization (Bohr magnetons per cell)
1,0.00
2,0.00
3,0.00
4,0.00
5,0.58
6,0.00
7,0.37
8,0.01
9,0.00
10,0.00
11,0.00
12,1.54
13,2.20
14,0.00
15,0.00
16,0.00
17,0.00
18,0.00
19,0.00
20,0.00
21,0.00
22,0.00